# PBE-GGA LaSbIr, relaxed
# **VASP energy**: -6.8152 eV/atom
# **V**: 23.4 A^3/atom
data_LaSbIr
_chemical_formula_sum 'La3 Sb3 Ir3'
_cell_length_a 7.584
_cell_length_b 7.584
_cell_length_c 4.220
_cell_angle_alpha 90.00
_cell_angle_beta 90.00
_cell_angle_gamma 120.00
_space_group_name_H-M_alt 'P 1'
_space_group_IT_number 1
loop_
_space_group_symop_operation_xyz
'x,y,z'
loop_
_atom_site_label
_atom_site_type_symbol
_atom_site_fract_x
_atom_site_fract_y
_atom_site_fract_z
Ir1 Ir 0.667 0.333 0.000
Ir2 Ir 0.333 0.667 0.000
Ir3 Ir 0.000 0.000 0.500
La1 La 0.592 0.000 0.500
La2 La 0.408 0.408 0.500
La3 La 0.000 0.592 0.500
Sb1 Sb 0.259 0.000 0.000
Sb2 Sb 0.000 0.259 0.000
Sb3 Sb 0.741 0.741 0.000